Density functional theory data (PBE) for crystalline Nd2ZrP3 at its relaxed geometry.

Cell and atoms, written as POSCAR:
```
Nd2ZrP3
1.0
-2.018 2.018 8.483
2.018 -2.018 8.483
2.018 2.018 -8.483
Nd Zr P
2 1 3
Cartesian
0.000 0.000 2.815 Nd
0.000 0.000 14.151 Nd
0.000 0.000 8.483 Zr
0.000 0.000 0.000 P
0.000 0.000 5.797 P
0.000 0.000 11.169 P
```

Values from the calculation:
* space group: I4/mmm (139)
* density of states at the Fermi level: 1.720 states/eV per cell

Density functional theory data (PBE) for crystalline NdZrP at its relaxed geometry.

Cell and atoms, written as POSCAR:
```
NdZrP
1.0
6.552 0.000 0.000
0.000 6.687 0.000
-1.040 0.000 6.674
Nd Zr P
4 4 4
Cartesian
0.688 1.530 0.046 Nd
0.168 1.813 3.383 Nd
5.344 4.873 3.291 Nd
4.824 5.157 6.628 Nd
2.599 4.169 1.320 Zr
2.079 5.861 4.657 Zr
3.433 0.826 2.017 Zr
2.913 2.518 5.354 Zr
0.629 3.865 5.530 P
1.149 6.165 2.193 P
4.363 0.521 4.481 P
4.883 2.822 1.144 P
```

Values from the calculation:
* space group: P2_1/c (14)
* density of states at the Fermi level: 7.043 states/eV per cell

Density functional theory data (PBE) for crystalline NdPa3 at its relaxed geometry.

Cell and atoms, written as POSCAR:
```
NdPa3
1.0
4.745 0.000 0.000
0.000 4.745 0.000
0.000 0.000 4.745
Nd Pa
1 3
Cartesian
0.000 0.000 0.000 Nd
0.000 2.372 2.372 Pa
2.372 0.000 2.372 Pa
2.372 2.372 0.000 Pa
```

Values from the calculation:
* space group: Pm-3m (221)
* density of states at the Fermi level: 9.886 states/eV per cell

Density functional theory data (PBE) for crystalline NdPa2 at its relaxed geometry.

Cell and atoms, written as POSCAR:
```
NdPa2
1.0
-1.620 1.620 7.828
1.620 -1.620 7.828
1.620 1.620 -7.828
Nd Pa
1 2
Cartesian
0.000 0.000 0.000 Nd
0.000 0.000 5.107 Pa
0.000 0.000 10.550 Pa
```

Values from the calculation:
* space group: I4/mmm (139)
* density of states at the Fermi level: 5.761 states/eV per cell
* E above lowest polymorph: 0 meV/atom

Density functional theory data (PBE) for crystalline NdPa at its relaxed geometry.

Cell and atoms, written as POSCAR:
```
NdPa
1.0
3.488 0.000 0.000
0.000 3.488 0.000
0.000 0.000 9.778
Nd Pa
2 2
Cartesian
0.872 0.872 1.534 Nd
2.616 2.616 8.244 Nd
0.872 0.872 5.888 Pa
2.616 2.616 3.890 Pa
```

Values from the calculation:
* space group: P4/nmm (129)
* density of states at the Fermi level: 5.933 states/eV per cell

Density functional theory data (PBE) for crystalline Nd4Pa at its relaxed geometry.

Cell and atoms, written as POSCAR:
```
Nd4Pa
1.0
5.777 0.000 0.000
0.000 5.777 0.000
0.000 0.000 5.777
Nd Pa
4 1
Cartesian
0.000 0.000 0.000 Nd
0.000 2.888 2.888 Nd
2.888 0.000 2.888 Nd
2.888 2.888 0.000 Nd
2.888 2.888 2.888 Pa
```

Values from the calculation:
* space group: Pm-3m (221)
* density of states at the Fermi level: 12.303 states/eV per cell

Density functional theory data (PBE) for crystalline NdPa2 at its relaxed geometry.

Cell and atoms, written as POSCAR:
```
NdPa2
1.0
0.000 4.379 4.379
4.379 0.000 4.379
4.379 4.379 0.000
Nd Pa
2 4
Cartesian
1.095 1.095 1.095 Nd
7.664 7.664 7.664 Nd
4.379 2.190 2.190 Pa
2.190 4.379 2.190 Pa
2.190 2.190 4.379 Pa
4.379 4.379 4.379 Pa
```

Values from the calculation:
* space group: Fd-3m (227)
* density of states at the Fermi level: 14.963 states/eV per cell
* E above lowest polymorph: 40 meV/atom

Density functional theory data (PBE) for crystalline NdPa2Pb9 at its relaxed geometry.

Cell and atoms, written as POSCAR:
```
NdPa2Pb9
1.0
4.844 0.000 0.000
0.000 4.844 0.000
0.000 0.000 14.607
Nd Pa Pb
1 2 9
Cartesian
0.000 0.000 0.000 Nd
0.000 0.000 4.953 Pa
0.000 0.000 9.654 Pa
0.000 2.422 2.510 Pb
0.000 2.422 7.303 Pb
0.000 2.422 12.097 Pb
2.422 0.000 2.510 Pb
2.422 0.000 7.303 Pb
2.422 0.000 12.097 Pb
2.422 2.422 0.000 Pb
2.422 2.422 4.900 Pb
2.422 2.422 9.707 Pb
```

Values from the calculation:
* space group: P4/mmm (123)
* density of states at the Fermi level: 12.921 states/eV per cell

| no. | VASP energy (eV per atom) |
| --- | --- |
| 1 | -7.117 |
| 2 | -7.098 |
| 3 | -8.062 |
| 4 | -7.711 |
| 5 | -6.996 |
| 6 | -5.018 |
| 7 | -7.671 |
| 8 | -4.883 |